## A
BAsNF2: optimized geometry, PBE.

Unit cell a=4.219 b=4.219 c=3.722 alpha=90.00 beta=90.00 gamma=90.00
Space group P4/mmm (No. 123)
Asymmetric unit:
B 0.000 0.000 0.000 [1 per cell]
As 0.500 0.500 0.500 [1 per cell]
N 0.500 0.500 0.000 [1 per cell]
F 0.000 0.500 0.500 [2 per cell]

Computed properties:
Total magnetization: 0.000 μB/f.u.


## B
BAsNF2: optimized geometry, PBE.

Unit cell a=4.521 b=4.521 c=2.670 alpha=90.00 beta=90.00 gamma=90.00
Space group P4/mmm (No. 123)
Asymmetric unit:
B 0.000 0.000 0.000 [1 per cell]
As 0.500 0.500 0.500 [1 per cell]
N 0.000 0.000 0.500 [1 per cell]
F 0.000 0.500 0.000 [2 per cell]

Computed properties:
Total magnetization: 0.000 μB/f.u.


Stability ranking, top and bottom: B is the most stable and A is the least stable.